Entry from Alexandria via LeMat-Bulk: a geometry-optimized Tb3Er5Tm structure (GGA-PBE).

Values from the calculation:
magnetization	0.000	μB per cell
SG	C2/m (12)
ΔE_f	538	meV per atom
calculated total energy	-4.0370	eV/atom

abc: 9.3932 9.3932 9.8544
angles: 121.32 121.32 73.56
Atoms (fractional coordinates):
Tb1 0.0000 0.0000 0.0000
Tb2 0.0097 0.0097 0.3118
Tb3 0.4779 0.4779 0.1362
Tb4 0.5000 0.5000 0.5000
Tb5 0.5221 0.5221 0.8638
Tb6 0.9903 0.9903 0.6882
Er1 0.0948 0.5973 0.7510
Er2 0.2197 0.2197 0.7298
Er3 0.2404 0.7595 0.5000
Er4 0.2783 0.2783 0.4643
Er5 0.4027 0.9052 0.2490
Er6 0.5973 0.0948 0.7510
Er7 0.7217 0.7217 0.5357
Er8 0.7595 0.2404 0.5000
Er9 0.7803 0.7803 0.2702
Er10 0.9052 0.4027 0.2490
Tm1 0.2495 0.2495 0.1028
Tm2 0.7505 0.7505 0.8972